# 1
This record from the Alexandria database describes an optimized crystal structure of KNiTeSe3. The functional is PBE.

Properties
* ΔE_f (raw): -368 meV/atom
* total moment: 0.48 μB per formula unit

Cell lengths 4.0366, 9.3997, 9.3130 Å; angles 98.69, 90.00, 90.00 degrees
Last column: magnetic moment on the atom in μB.
Sites, in units of the cell vectors:
K 0.2500 0.1611 0.2095  0.00
K 0.7500 0.8389 0.7905  0.00
Ni 0.2500 0.0687 0.5695  0.31
Ni 0.7500 0.9313 0.4305  0.31
Te 0.2500 0.6484 0.1652  -0.02
Te 0.7500 0.3516 0.8348  -0.02
Se 0.7500 0.8633 0.1676  0.05
Se 0.2500 0.1367 0.8324  0.05
Se 0.2500 0.8238 0.4852  0.06
Se 0.7500 0.1762 0.5148  0.06
Se 0.7500 0.4498 0.1793  -0.01
Se 0.2500 0.5502 0.8207  -0.01

# 2
This record from the Alexandria database describes an optimized crystal structure of Sr2ZnCl. The functional is PBE.

Properties
* ΔE_f (raw): -921 meV/atom
* excess energy over the best structure of this formula in the dataset: 0.0 meV/atom
* total moment: 0.00 μB per formula unit

Cell lengths 8.8086, 8.8086, 3.9473 Å; angles 77.12, 77.12, 25.89 degrees
Sites, in units of the cell vectors:
Cl 0.2181 0.2181 0.0309
Sr 0.0367 0.0367 0.2143
Sr 0.8087 0.8087 0.4407
Zn 0.4365 0.4365 0.8141

# 3
This record from the Alexandria database describes an optimized crystal structure of TbSmY2Er2. The functional is PBE.

Properties
* energy of formation from the pure elements: 272 meV/atom
* total moment: 0.00 μB per formula unit

Cell lengths 3.3955, 6.5496, 17.7339 Å; angles 90.00, 90.00, 90.00 degrees
Sites, in units of the cell vectors:
Tb 0.0000 0.0000 0.0000
Tb 0.5000 0.5000 0.5000
Sm 0.5000 0.5000 0.0000
Sm 0.0000 0.0000 0.5000
Y 0.5000 0.2698 0.3149
Y 0.0000 0.7698 0.1851
Y 0.5000 0.7302 0.6851
Y 0.0000 0.2302 0.8149
Er 0.5000 0.7704 0.3525
Er 0.5000 0.2296 0.6474
Er 0.0000 0.7296 0.8526
Er 0.0000 0.2704 0.1474

# 4
This record from the Alexandria database describes an optimized crystal structure of Co4Ni3. The functional is PBE.

Properties
* energy of formation from the pure elements: 95 meV/atom
* excess energy over the best structure of this formula in the dataset: 99.5 meV/atom
* total moment: 8.52 μB per formula unit

Cell lengths 9.2445, 9.2445, 9.2445 Å; angles 161.77, 161.77, 25.90 degrees
Last column: magnetic moment on the atom in μB.
Sites, in units of the cell vectors:
Co 0.8579 0.8579 0.0000  1.78
Co 0.5711 0.5711 0.0000  1.73
Co 0.4289 0.4289 0.0000  1.73
Co 0.1421 0.1421 0.0000  1.78
Ni 0.0000 0.0000 0.0000  0.58
Ni 0.7149 0.7149 0.0000  0.58
Ni 0.2851 0.2851 0.0000  0.58

# 5
This record from the Alexandria database describes an optimized crystal structure of LiPrNiGe. The functional is PBE.

Properties
* energy of formation from the pure elements: -466 meV/atom
* total moment: 0.00 μB per formula unit

Cell lengths 4.5997, 4.5997, 4.5997 Å; angles 60.00, 60.00, 60.00 degrees
Sites, in units of the cell vectors:
Pr 0.7500 0.7500 0.7500
Ni 0.5000 0.5000 0.5000
Ge 0.2500 0.2500 0.2500
Li 0.0000 0.0000 0.0000

Values for density, g/cm³, ordered as above
4.40; 3.52; 6.92; 8.85; 6.74